1.
# KIn6Sn2 PBE optimized geometry
# ρ   5.78 g/cm³
# DOS at the Fermi energy   4.0 states/eV/f.u.
# ΔE_f   -0.036 eV per atom
data_KIn6Sn2
_chemical_formula_sum 'K1 In6 Sn2'
_cell_length_a 5.141
_cell_length_b 5.141
_cell_length_c 10.491
_cell_angle_alpha 90.00
_cell_angle_beta 90.00
_cell_angle_gamma 90.00
_space_group_name_H-M_alt 'P 1'
_space_group_IT_number 1
_space_group_name_Hall 'P 1'
loop_
_atom_site_label
_atom_site_fract_x
_atom_site_fract_y
_atom_site_fract_z
K1 0.000 0.000 0.000
In1 0.000 0.000 0.500
In2 0.000 0.500 0.306
In3 0.000 0.500 0.694
In4 0.500 0.000 0.306
In5 0.500 0.000 0.694
In6 0.500 0.500 0.500
Sn1 0.500 0.500 0.139
Sn2 0.500 0.500 0.861


2.
# KIn3Sn PBE optimized geometry
# ρ   4.05 g/cm³
# Energy above the most stable polymorph in this dataset   350 meV/atom
# DOS at the Fermi energy   3.4 states/eV/f.u.
# ΔE_f   0.199 eV per atom
data_KIn3Sn
_chemical_formula_sum 'K1 In3 Sn1'
_cell_length_a 5.905
_cell_length_b 5.905
_cell_length_c 5.905
_cell_angle_alpha 90.00
_cell_angle_beta 90.00
_cell_angle_gamma 90.00
_space_group_name_H-M_alt 'P 1'
_space_group_IT_number 1
_space_group_name_Hall 'P 1'
loop_
_atom_site_label
_atom_site_fract_x
_atom_site_fract_y
_atom_site_fract_z
K1 0.000 0.000 0.000
In1 0.000 0.500 0.500
In2 0.500 0.000 0.500
In3 0.500 0.500 0.000
Sn1 0.500 0.500 0.500


3.
# KIn2Sn PBE optimized geometry
# ρ   5.06 g/cm³
# DOS at the Fermi energy   1.8 states/eV/f.u.
# ΔE_f   -0.087 eV per atom
data_KIn2Sn
_chemical_formula_sum 'K1 In2 Sn1'
_cell_length_a 3.913
_cell_length_b 3.913
_cell_length_c 8.312
_cell_angle_alpha 90.00
_cell_angle_beta 90.00
_cell_angle_gamma 90.00
_space_group_name_H-M_alt 'P 1'
_space_group_IT_number 1
_space_group_name_Hall 'P 1'
loop_
_atom_site_label
_atom_site_fract_x
_atom_site_fract_y
_atom_site_fract_z
K1 0.000 0.000 0.000
In1 0.500 0.500 0.301
In2 0.500 0.500 0.699
Sn1 0.000 0.000 0.500


4.
# KIn6Sn6 PBE optimized geometry
# ρ   4.38 g/cm³
# DOS at the Fermi energy   13.4 states/eV/f.u.
# ΔE_f   0.155 eV per atom
data_KIn6Sn6
_chemical_formula_sum 'K1 In6 Sn6'
_cell_length_a 8.174
_cell_length_b 8.174
_cell_length_c 8.174
_cell_angle_alpha 90.00
_cell_angle_beta 90.00
_cell_angle_gamma 90.00
_space_group_name_H-M_alt 'P 1'
_space_group_IT_number 1
_space_group_name_Hall 'P 1'
loop_
_atom_site_label
_atom_site_fract_x
_atom_site_fract_y
_atom_site_fract_z
K1 0.000 0.000 0.000
In1 0.000 0.252 0.500
In2 0.000 0.748 0.500
In3 0.252 0.500 0.000
In4 0.500 0.000 0.252
In5 0.500 0.000 0.748
In6 0.748 0.500 0.000
Sn1 0.000 0.500 0.248
Sn2 0.000 0.500 0.752
Sn3 0.248 0.000 0.500
Sn4 0.500 0.248 0.000
Sn5 0.500 0.752 0.000
Sn6 0.752 0.000 0.500


5.
# KInSn PBE optimized geometry
# ρ   2.45 g/cm³
# DOS at the Fermi energy   1.5 states/eV/f.u.
# ΔE_f   0.357 eV per atom
data_KInSn
_chemical_formula_sum 'K2 In2 Sn2'
_cell_length_a 6.212
_cell_length_b 6.212
_cell_length_c 11.057
_cell_angle_alpha 90.00
_cell_angle_beta 90.00
_cell_angle_gamma 120.00
_space_group_name_H-M_alt 'P 1'
_space_group_IT_number 1
_space_group_name_Hall 'P 1'
loop_
_atom_site_label
_atom_site_fract_x
_atom_site_fract_y
_atom_site_fract_z
K1 0.333 0.667 0.250
K2 0.667 0.333 0.750
In1 0.000 0.000 0.250
In2 0.000 0.000 0.750
Sn1 0.000 0.000 0.000
Sn2 0.000 0.000 0.500


6.
# KInSn PBE optimized geometry
# ρ   4.68 g/cm³
# DOS at the Fermi energy   0.2 states/eV/f.u.
# ΔE_f   -0.242 eV per atom
data_KInSn
_chemical_formula_sum 'K4 In4 Sn4'
_cell_length_a 8.754
_cell_length_b 5.187
_cell_length_c 8.529
_cell_angle_alpha 90.00
_cell_angle_beta 90.00
_cell_angle_gamma 90.00
_space_group_name_H-M_alt 'P 1'
_space_group_IT_number 1
_space_group_name_Hall 'P 1'
loop_
_atom_site_label
_atom_site_fract_x
_atom_site_fract_y
_atom_site_fract_z
K1 0.000 0.250 0.179
K2 0.000 0.750 0.821
K3 0.500 0.250 0.321
K4 0.500 0.750 0.679
In1 0.167 0.250 0.590
In2 0.333 0.750 0.090
In3 0.667 0.250 0.910
In4 0.833 0.750 0.410
Sn1 0.178 0.750 0.404
Sn2 0.322 0.250 0.904
Sn3 0.678 0.750 0.096
Sn4 0.822 0.250 0.596